# PBE Ce5Sn4, relaxed
data_Ce5Sn4
_cell_length_a 9.5844
_cell_length_b 9.5844
_cell_length_c 6.5073
_cell_angle_alpha 90.00
_cell_angle_beta 90.00
_cell_angle_gamma 120.00
_symmetry_space_group_name_H-M 'P 63/m c m'
_symmetry_Int_Tables_number 193
_symmetry_space_group_name_Hall '-P 6c 2'
loop_
_atom_site_label
_atom_site_fract_x
_atom_site_fract_y
_atom_site_fract_z
Ce1 0.0000 0.2806 0.2500
Ce2 0.3333 0.6667 0.0000
Sn1 0.0000 0.0000 0.0000
Sn2 0.0000 0.3761 0.7500
# **DFT formation energy**: -0.612 eV per atom
# **Excess energy over the best structure of this formula in the dataset**: 0.0000 eV per atom
# **Total moment**: 5.1 μB per formula unit